# HfB3P | Alexandria via LeMat-Bulk | PBE | relaxed
# **Electronic total energy**: -0.227 Ha/atom
# **DOS at the Fermi energy**: 2.4 states/eV/cell
# **Calculated density**: 7.104 Mg/m³
# **ΔE to the lowest computed polymorph**: 0 meV per atom
# **Energy relative to the elements**: 0.908 eV/atom
data_HfB3P
_chemical_formula_sum 'Hf1 B3 P1'
_space_group_name_H-M_alt 'P m -3 m'
_space_group_IT_number 221
_space_group_name_Hall '-P 4 2 3'
_cell_length_a 3.838
_cell_length_b 3.838
_cell_length_c 3.838
_cell_angle_alpha 90.00
_cell_angle_beta 90.00
_cell_angle_gamma 90.00
loop_
_atom_site_label
_atom_site_fract_x
_atom_site_fract_y
_atom_site_fract_z
_atom_site_occupancy
Hf1 0.000 0.000 0.000 1
B1 0.000 0.500 0.500 1
P1 0.500 0.500 0.500 1